This record from Alexandria describes a relaxed structure of PmPrGa2. The functional is PBE.

The structure in POSCAR format:
```
PmPrGa2
1.0
-1.767 -1.208 3.018
-1.193 -2.954 -1.881
6.038 -3.737 2.039
Pm Ga Pr
1 2 1
Direct
0.500 0.500 0.000
0.000 0.000 0.757
0.000 0.000 0.243
0.500 0.500 0.500
```

Output
Offset from the most stable computed form in eV per atom: 0.029
Total moment in μB per formula unit: 0.0
Volume in Å³ per cell: 101.1
E_form in eV/atom: -0.559